VASP calculation (PBE-GGA) on an optimized crystal structure of Tb6Tl3In.

Lattice parameters (Å, degrees): 5.2320 9.7740 11.5169 104.51 90.00 90.00
Closest atoms and distances in Å follow each position.
Atoms (fractional coordinates):
In 0.7500 0.0542 0.3866  8 Tb 3.12-3.41
In 0.2500 0.9458 0.6134  8 Tb 3.12-3.41
Tb 0.2500 0.1055 0.8841  1 In 3.12, 3 Tl 3.12-3.15, 3 Tb 3.34-3.42
Tb 0.7500 0.5480 0.9077  6 Tl 3.20-3.43, 1 Tb 3.56
Tb 0.7500 0.8729 0.8216  8 Tb 3.34-3.65, 3 Tl 3.37-3.62, 2 In 3.74
Tb 0.2500 0.4520 0.0923  6 Tl 3.20-3.43, 1 Tb 3.56
Tb 0.7500 0.7601 0.4946  4 Tl 3.24-3.47, 3 In 3.28-3.41, 2 Tb 3.56
Tb 0.2500 0.6535 0.6805  1 In 3.14, 5 Tl 3.16-3.26, 2 Tb 3.51
Tb 0.7500 0.8945 0.1159  1 In 3.12, 3 Tl 3.12-3.15, 3 Tb 3.34-3.42
Tb 0.2500 0.2399 0.5054  4 Tl 3.24-3.47, 3 In 3.28-3.41, 2 Tb 3.56
Tb 0.7500 0.1628 0.6894  3 In 3.34-3.38, 3 Tl 3.36-3.39, 5 Tb 3.54-3.58
Tb 0.2500 0.1271 0.1784  8 Tb 3.34-3.65, 3 Tl 3.37-3.62, 2 In 3.74
Tb 0.2500 0.8372 0.3106  3 In 3.34-3.38, 3 Tl 3.36-3.39, 5 Tb 3.54-3.58
Tb 0.7500 0.3465 0.3195  1 In 3.14, 5 Tl 3.16-3.26, 2 Tb 3.51
Tl 0.7500 0.2182 0.0297  7 Tb 3.15-3.43
Tl 0.2500 0.3796 0.7915  8 Tb 3.12-3.39
Tl 0.2500 0.7818 0.9703  7 Tb 3.15-3.43
Tl 0.7500 0.4705 0.6099  8 Tb 3.16-3.47
Tl 0.7500 0.6204 0.2085  8 Tb 3.12-3.39
Tl 0.2500 0.5295 0.3901  8 Tb 3.16-3.47

## Properties
Volume ... 570.2 Å³/cell
Energy of formation ... -0.293 eV/atom
Density of states at the Fermi level ... 1.069 states/eV/atom
ρ ... 9.79 g/cm³
Size of the total moment ... 0.09 μB per atom
Distance to the lowest polymorph of the same formula ... 0.000 eV per formula unit
Crystal system ... monoclinic